VASP calculation (PBE) on a geometry-optimized GdZrTc2 structure.

Output
Energy relative to the elements in eV/atom: -0.041
V in Å³/cell: 77
DFT total energy in eV per atom: -10.881
Size of the total moment in μB/f.u.: 6.76

a b c (Å): 3.354 3.354 6.811
angles (deg): 90.00 90.00 90.00
Space group P4/mmm (No. 123)
Unique sites:
Gd1 0.000 0.000 0.000 (multiplicity 1)
Zr1 0.000 0.000 0.500 (multiplicity 1)
Tc1 0.500 0.500 0.268 (multiplicity 2)

VASP calculation (PBE) on a geometry-optimized GdTe5 structure.

Output
V in Å³/cell: 375
DFT total energy in eV per atom: -5.361
Size of the total moment in μB/f.u.: 6.91
E_form (uncorrected) in eV per atom: -0.396

a b c (Å): 4.613 19.332 4.206
angles (deg): 90.00 90.00 90.00
Space group Cmmm (No. 65)
Unique sites:
Gd1 0.000 0.000 0.000 (multiplicity 2)
Te1 0.000 0.148 0.500 (multiplicity 4)
Te2 0.000 0.340 0.000 (multiplicity 4)
Te3 0.000 0.500 0.500 (multiplicity 2)

VASP calculation (PBE) on a geometry-optimized GdTe structure.

Output
V in Å³/cell: 61
DFT total energy in eV per atom: -9.991
Size of the total moment in μB/f.u.: 7.76
E_form (uncorrected) in eV per atom: -1.379

a b c (Å): 4.1467 4.1467 4.1126
angles (deg): 90.00 90.00 120.00
Space group P-6m2 (No. 187)
Unique sites:
Gd1 0.0000 0.0000 0.0000 (multiplicity 1)
Te1 0.6667 0.3333 0.5000 (multiplicity 1)

VASP calculation (PBE) on a geometry-optimized GdTe structure.

Output
V in Å³/cell: 242
DFT total energy in eV per atom: -10.019
Size of the total moment in μB/f.u.: 6.83
E_form (uncorrected) in eV per atom: -1.408

a b c (Å): 6.234 6.234 6.234
angles (deg): 90.00 90.00 90.00
Space group Fm-3m (No. 225)
Unique sites:
Gd1 0.000 0.000 0.000 (multiplicity 4)
Te1 0.000 0.000 0.500 (multiplicity 4)

VASP calculation (PBE) on a geometry-optimized Gd2Te3 structure.

Output
V in Å³/cell: 624
DFT total energy in eV per atom: -8.949
Size of the total moment in μB/f.u.: 14.03
E_form (uncorrected) in eV per atom: -1.431

a b c (Å): 12.091 4.340 11.888
angles (deg): 90.00 90.00 90.00
Space group Pnma (No. 62)
Unique sites:
Gd1 0.016 0.250 0.188 (multiplicity 4)
Gd2 0.195 0.250 0.498 (multiplicity 4)
Te1 0.043 0.750 0.376 (multiplicity 4)
Te2 0.119 0.250 0.943 (multiplicity 4)
Te3 0.224 0.750 0.696 (multiplicity 4)

VASP calculation (PBE) on a geometry-optimized GdTe structure.

Output
V in Å³/cell: 56
DFT total energy in eV per atom: -9.894
Size of the total moment in μB/f.u.: 7.69
E_form (uncorrected) in eV per atom: -1.282

a b c (Å): 3.818 3.818 3.818
angles (deg): 90.00 90.00 90.00
Space group Pm-3m (No. 221)
Unique sites:
Gd1 0.000 0.000 0.000 (multiplicity 1)
Te1 0.500 0.500 0.500 (multiplicity 1)

VASP calculation (PBE) on a geometry-optimized GdThTe structure.

Output
V in Å³/cell: 187
DFT total energy in eV per atom: -8.839
Size of the total moment in μB/f.u.: 7.62
E_form (uncorrected) in eV per atom: -0.625

a b c (Å): 3.861 3.861 12.543
angles (deg): 90.00 90.00 90.00
Space group I4mm (No. 107)
Unique sites:
Gd1 0.000 0.000 0.000 (multiplicity 2)
Th1 0.000 0.000 0.297 (multiplicity 2)
Te1 0.000 0.000 0.644 (multiplicity 2)

VASP calculation (PBE) on a geometry-optimized GdThTe2 structure.

Output
V in Å³/cell: 369
DFT total energy in eV per atom: -8.153
Size of the total moment in μB/f.u.: 6.84
E_form (uncorrected) in eV per atom: -1.207

a b c (Å): 4.3098 4.3098 22.9668
angles (deg): 90.00 90.00 120.00
Space group R-3m (No. 166, hexagonal axes)
Unique sites:
Gd1 0.0000 0.0000 0.0000 (multiplicity 3)
Th1 0.0000 0.0000 0.5000 (multiplicity 3)
Te1 0.0000 0.0000 0.2534 (multiplicity 6)

VASP calculation (PBE) on a geometry-optimized GdThTe2 structure.

Output
V in Å³/cell: 113
DFT total energy in eV per atom: -8.130
Size of the total moment in μB/f.u.: 7.65
E_form (uncorrected) in eV per atom: -1.184

a b c (Å): 3.843 3.843 7.661
angles (deg): 90.00 90.00 90.00
Space group P4/mmm (No. 123)
Unique sites:
Gd1 0.000 0.000 0.000 (multiplicity 1)
Th1 0.000 0.000 0.500 (multiplicity 1)
Te1 0.500 0.500 0.252 (multiplicity 2)

VASP calculation (PBE) on a geometry-optimized GdThTe2 structure.

Output
V in Å³/cell: 448
DFT total energy in eV per atom: -8.106
Size of the total moment in μB/f.u.: 7.49
E_form (uncorrected) in eV per atom: -1.160

a b c (Å): 7.650 7.650 7.650
angles (deg): 90.00 90.00 90.00
Space group Fm-3m (No. 225)
Unique sites:
Gd1 0.000 0.000 0.000 (multiplicity 4)
Th1 0.000 0.000 0.500 (multiplicity 4)
Te1 0.250 0.250 0.250 (multiplicity 8)

VASP calculation (PBE) on a geometry-optimized Gd3Th5Te12 structure.

Output
V in Å³/cell: 6302
DFT total energy in eV per atom: -6.714
Size of the total moment in μB/f.u.: 22.24
E_form (uncorrected) in eV per atom: -0.862

a b c (Å): 18.471 18.471 18.471
angles (deg): 90.00 90.00 90.00
Space group Ia-3d (No. 230)
Unique sites:
Gd1 0.000 0.250 0.125 (multiplicity 24)
Th1 0.000 0.000 0.000 (multiplicity 16)
Th2 0.000 0.250 0.375 (multiplicity 24)
Te1 0.022 0.076 0.651 (multiplicity 96)

VASP calculation (PBE) on a geometry-optimized GdThTe structure.

Output
V in Å³/cell: 92
DFT total energy in eV per atom: -8.564
Size of the total moment in μB/f.u.: 7.97
E_form (uncorrected) in eV per atom: -0.350

a b c (Å): 5.2757 5.2757 3.8350
angles (deg): 90.00 90.00 120.00
Space group P3m1 (No. 156)
Unique sites:
Gd1 0.0000 0.0000 0.0000 (multiplicity 1)
Th1 0.3333 0.6667 0.4997 (multiplicity 1)
Te1 0.6667 0.3333 0.9977 (multiplicity 1)

VASP calculation (PBE) on a geometry-optimized Gd2ThTe structure.

Output
V in Å³/cell: 120
DFT total energy in eV per atom: -10.264
Size of the total moment in μB/f.u.: 14.07
E_form (uncorrected) in eV per atom: -0.583

a b c (Å): 3.831 3.831 8.185
angles (deg): 90.00 90.00 90.00
Space group P4/mmm (No. 123)
Unique sites:
Gd1 0.000 0.000 0.224 (multiplicity 2)
Th1 0.500 0.500 0.500 (multiplicity 1)
Te1 0.500 0.500 0.000 (multiplicity 1)

VASP calculation (PBE) on a geometry-optimized Gd2TlTe structure.

Output
V in Å³/cell: 369
DFT total energy in eV per atom: -9.254
Size of the total moment in μB/f.u.: 14.13
E_form (uncorrected) in eV per atom: -0.837

a b c (Å): 4.2291 4.2291 23.8142
angles (deg): 90.00 90.00 120.00
Space group R-3m (No. 166, hexagonal axes)
Unique sites:
Gd1 0.0000 0.0000 0.2480 (multiplicity 6)
Tl1 0.0000 0.0000 0.0000 (multiplicity 3)
Te1 0.0000 0.0000 0.5000 (multiplicity 3)

VASP calculation (PBE) on a geometry-optimized Gd2TlTe structure.

Output
V in Å³/cell: 112
DFT total energy in eV per atom: -9.196
Size of the total moment in μB/f.u.: 15.17
E_form (uncorrected) in eV per atom: -0.778

a b c (Å): 3.707 3.707 8.170
angles (deg): 90.00 90.00 90.00
Space group P4/mmm (No. 123)
Unique sites:
Gd1 0.000 0.000 0.238 (multiplicity 2)
Tl1 0.500 0.500 0.500 (multiplicity 1)
Te1 0.500 0.500 0.000 (multiplicity 1)

VASP calculation (PBE) on a geometry-optimized GdTmTe2 structure.

Output
V in Å³/cell: 432
DFT total energy in eV per atom: -7.378
Size of the total moment in μB/f.u.: 8.33
E_form (uncorrected) in eV per atom: -1.169

a b c (Å): 7.559 7.559 7.559
angles (deg): 90.00 90.00 90.00
Space group Fm-3m (No. 225)
Unique sites:
Gd1 0.000 0.000 0.000 (multiplicity 4)
Tm1 0.000 0.000 0.500 (multiplicity 4)
Te1 0.250 0.250 0.250 (multiplicity 8)

VASP calculation (PBE) on a geometry-optimized GdTmTe structure.

Output
V in Å³/cell: 91
DFT total energy in eV per atom: -7.721
Size of the total moment in μB/f.u.: 7.24
E_form (uncorrected) in eV per atom: -0.489

a b c (Å): 5.1474 5.1474 3.9576
angles (deg): 90.00 90.00 120.00
Space group P3m1 (No. 156)
Unique sites:
Gd1 0.0000 0.0000 0.0000 (multiplicity 1)
Tm1 0.3333 0.6667 0.4958 (multiplicity 1)
Te1 0.6667 0.3333 0.3229 (multiplicity 1)

VASP calculation (PBE) on a geometry-optimized GdTmTe2 structure.

Output
V in Å³/cell: 108
DFT total energy in eV per atom: -7.379
Size of the total moment in μB/f.u.: 8.22
E_form (uncorrected) in eV per atom: -1.170

a b c (Å): 5.345 5.345 3.779
angles (deg): 90.00 90.00 90.00
Space group P4/mmm (No. 123)
Unique sites:
Gd1 0.000 0.000 0.000 (multiplicity 1)
Tm1 0.500 0.500 0.000 (multiplicity 1)
Te1 0.000 0.500 0.500 (multiplicity 2)

VASP calculation (PBE) on a geometry-optimized GdTmTe structure.

Output
V in Å³/cell: 172
DFT total energy in eV per atom: -8.005
Size of the total moment in μB/f.u.: 7.30
E_form (uncorrected) in eV per atom: -0.773

a b c (Å): 3.858 3.858 11.565
angles (deg): 90.00 90.00 90.00
Space group I4mm (No. 107)
Unique sites:
Gd1 0.000 0.000 0.000 (multiplicity 2)
Tm1 0.000 0.000 0.311 (multiplicity 2)
Te1 0.000 0.000 0.664 (multiplicity 2)

VASP calculation (PBE) on a geometry-optimized GdTmTe2 structure.

Output
V in Å³/cell: 456
DFT total energy in eV per atom: -7.082
Size of the total moment in μB/f.u.: 7.07
E_form (uncorrected) in eV per atom: -0.873

a b c (Å): 4.2689 4.2689 28.8887
angles (deg): 90.00 90.00 120.00
Space group R-3m (No. 166, hexagonal axes)
Unique sites:
Gd1 0.0000 0.0000 0.0000 (multiplicity 3)
Tm1 0.0000 0.0000 0.5000 (multiplicity 3)
Te1 0.0000 0.0000 0.3974 (multiplicity 6)